1.
{"formula": "Nd2ThBe", "functional": "GGA-PBE", "state": "optimized geometry", "polymorph_energy_mev_per_atom": 0, "ef_ev_per_atom": 0.14, "n_ef_per_ev_fu": 6.651, "sg": "No. 123", "cell": [[3.559, 0.000, 0.000], [0.000, 3.559, 0.000], [0.000, 0.000, 8.690]], "species": ["Nd", "Nd", "Th", "Be"], "frac_coords": [[0.000, 0.000, 0.202], [0.000, 0.000, 0.798], [0.500, 0.500, 0.500], [0.500, 0.500, 0.000]]}

2.
{"formula": "Nd2ThBe", "functional": "GGA-PBE", "state": "optimized geometry", "polymorph_energy_mev_per_atom": 556, "ef_ev_per_atom": 0.70, "n_ef_per_ev_fu": 4.810, "sg": "No. 166", "cell": [[1.771, 1.022, 11.561], [-1.771, 1.022, 11.561], [0.000, -2.045, 11.561]], "species": ["Nd", "Nd", "Th", "Be"], "frac_coords": [[0.085, 0.085, 0.085], [0.915, 0.915, 0.915], [0.500, 0.500, 0.500], [0.000, 0.000, 0.000]]}

3.
{"formula": "NdThBe", "functional": "GGA-PBE", "state": "optimized geometry", "ef_ev_per_atom": 0.10, "n_ef_per_ev_fu": 3.874, "sg": "No. 63", "cell": [[1.945, -10.677, 0.000], [1.945, 10.677, 0.000], [0.000, 0.000, 3.803]], "species": ["Nd", "Nd", "Th", "Th", "Be", "Be"], "frac_coords": [[0.189, 0.811, 0.750], [0.811, 0.189, 0.250], [0.423, 0.577, 0.750], [0.577, 0.423, 0.250], [0.025, 0.975, 0.750], [0.975, 0.025, 0.250]]}